TcAs2BrCl: relaxed, PBEsol.

Calculated values
Energy relative to the elements, uncorrected: 0.271 eV/atom
DOS(E_F): 0.8748 states/eV/atom
Final energy: -4.80 eV per atom

```
data_TcAs2BrCl
_symmetry_space_group_name_H-M 'P 4/m m m'
_symmetry_Int_Tables_number 123
_symmetry_space_group_name_Hall '-P 4 2'
_cell_length_a 4.7238
_cell_length_b 4.7238
_cell_length_c 5.0384
_cell_angle_alpha 90.00
_cell_angle_beta 90.00
_cell_angle_gamma 90.00
loop_
_atom_site_label
_atom_site_fract_x
_atom_site_fract_y
_atom_site_fract_z
Tc1 0.0000 0.0000 0.0000
As1 0.0000 0.5000 0.0000
Br1 0.0000 0.0000 0.5000
Cl1 0.5000 0.5000 0.5000
```